This record from Alexandria describes crystalline ErZr2In at its relaxed geometry. The functional is GGA-PBE.

Its energy above the lowest structure with this stoichiometry is 0.0 meV per atom. Its formation energy from the elements is -0.208 eV per atom. As for the energy: -6.307 eV/atom. The calculation puts the density of states at the Fermi level at 4.1 states/eV/f.u.

The structure belongs to space group P2_1/m (No. 11); the cell edges are 4.134, 4.594 and 10.972 Å and the angles 90.00°, 100.91° and 90.00°. Symmetry generates all atoms from Er at (0.193, 0.250, 0.385), Zr at (0.053, 0.750, 0.106), Zr at (0.447, 0.750, 0.894) and In at (0.339, 0.250, 0.679).